1.
{"formula": "CeEr2AlOs2", "functional": "PBE", "state": "optimized geometry", "dos_ef_per_ev_fu": 5.37, "energy_ry_per_atom": -0.5230, "crystal_system": "orthorhombic", "formation_energy_ev_per_atom": -0.2387, "lattice": [[-3.214, 6.663, 3.166], [3.214, -6.663, 3.166], [3.214, 6.663, -3.166]], "species": ["Ce", "Ce", "Er", "Er", "Er", "Er", "Al", "Al", "Os", "Os", "Os", "Os"], "frac_coords": [[0.250, 0.250, 0.000], [0.750, 0.750, 0.000], [0.184, 0.673, 0.856], [0.316, 0.173, 0.489], [0.684, 0.827, 0.511], [0.816, 0.327, 0.144], [0.250, 0.750, 0.500], [0.750, 0.250, 0.500], [0.108, 0.266, 0.373], [0.392, 0.766, 0.158], [0.608, 0.234, 0.842], [0.892, 0.734, 0.627]]}

=====

2.
{"formula": "CeErAlPb", "functional": "PBE", "state": "optimized geometry", "dos_ef_per_ev_fu": 7.89, "energy_ry_per_atom": -0.3508, "crystal_system": "cubic", "formation_energy_ev_per_atom": -0.2862, "lattice": [[0.000, 3.767, 3.767], [3.767, 0.000, 3.767], [3.767, 3.767, 0.000]], "species": ["Ce", "Er", "Al", "Pb"], "frac_coords": [[0.000, 0.000, 0.000], [0.500, 0.500, 0.500], [0.750, 0.750, 0.750], [0.250, 0.250, 0.250]]}